A plane-wave DFT calculation with PBE-GGA was carried out for an optimized crystal structure of AsIr3W.

Summary:
- Magnetic moment: 3.96 μB per formula unit
- Energy of formation from the pure elements: 1524 meV per atom

Structure (POSCAR):
```
AsIr3W
1.0
4.528 0.000 0.000
0.000 4.528 0.000
0.000 0.000 4.528
As W Ir
1 1 3
Cartesian
0.000 0.000 0.000
2.264 2.264 2.264
2.264 0.000 0.000
0.000 2.264 0.000
0.000 0.000 2.264
```